# 1
Compound: CoTc2Mo
Source: Alexandria via LeMat-Bulk
Functional: PBE-GGA
Structure: optimized geometry

E   -38.14 eV for the cell shown
Excess energy over the best structure of this formula in the dataset   94.0 meV per atom
Symmetry   Pm, No. 6
Magnetic moment   0.00 μB/f.u.

a = 4.214 Å, b = 2.677 Å, c = 5.108 Å
α = 76.73°, β = 90.00°, γ = 90.00°
Sites, in units of the cell vectors:
Co  0.000  0.659  0.501
Tc  0.500  0.257  0.259
Tc  0.000  0.940  0.997
Mo  0.500  0.643  0.743

# 2
Compound: CoTc2Mo
Source: Alexandria via LeMat-Bulk
Functional: PBE-GGA
Structure: optimized geometry

E   -38.07 eV for the cell shown
Excess energy over the best structure of this formula in the dataset   109.9 meV per atom
Symmetry   P4/mmm, No. 123
Magnetic moment   0.00 μB/f.u.

a = 2.667 Å, b = 2.667 Å, c = 7.829 Å
α = 90.00°, β = 90.00°, γ = 90.10°
Sites, in units of the cell vectors:
Mo  0.500  0.500  0.750
Co  0.500  0.500  0.250
Tc  0.000  0.000  0.476
Tc  0.000  0.000  0.024

# 3
Compound: Co2TcMo2
Source: Alexandria via LeMat-Bulk
Functional: PBE-GGA
Structure: optimized geometry

E   -91.28 eV for the cell shown
Symmetry   P4/mbm, No. 127
Magnetic moment   0.00 μB/f.u.

a = 6.643 Å, b = 6.643 Å, c = 3.057 Å
α = 90.00°, β = 90.00°, γ = 90.00°
Sites, in units of the cell vectors:
Co  0.876  0.624  0.000
Co  0.124  0.376  0.000
Co  0.624  0.124  0.000
Co  0.376  0.876  0.000
Tc  0.000  0.000  0.000
Tc  0.500  0.500  0.000
Mo  0.824  0.324  0.500
Mo  0.324  0.176  0.500
Mo  0.176  0.676  0.500
Mo  0.676  0.824  0.500

# 4
Compound: CoTcMo4
Source: Alexandria via LeMat-Bulk
Functional: PBE-GGA
Structure: optimized geometry

E   -58.04 eV for the cell shown
Symmetry   F-43m, No. 216
Magnetic moment   1.33 μB/f.u.

a = 5.122 Å, b = 5.122 Å, c = 5.122 Å
α = 60.00°, β = 60.00°, γ = 60.00°
Last column: magnetic moment on the atom in μB.
Sites, in units of the cell vectors:
Mo  0.124  0.625  0.625  0.00
Mo  0.625  0.625  0.625  0.00
Mo  0.625  0.625  0.124  0.00
Mo  0.625  0.124  0.625  0.00
Co  0.000  0.000  0.000  1.48
Tc  0.250  0.250  0.250  -0.05

# 5
Compound: CoTc2Mo
Source: Alexandria via LeMat-Bulk
Functional: PBE-GGA
Structure: optimized geometry

E   -38.08 eV for the cell shown
Excess energy over the best structure of this formula in the dataset   107.7 meV per atom
Symmetry   P4/mmm, No. 123
Magnetic moment   1.09 μB/f.u.

a = 3.155 Å, b = 3.155 Å, c = 5.638 Å
α = 90.00°, β = 90.00°, γ = 90.00°
Last column: magnetic moment on the atom in μB.
Sites, in units of the cell vectors:
Mo  0.500  0.500  0.750  -0.06
Tc  0.000  0.000  0.022  0.09
Tc  0.000  0.000  0.478  0.09
Co  0.500  0.500  0.250  0.96

# 6
Compound: CoTcMo2
Source: Alexandria via LeMat-Bulk
Functional: PBE-GGA
Structure: optimized geometry

E   -38.68 eV for the cell shown
Excess energy over the best structure of this formula in the dataset   16.2 meV per atom
Symmetry   Cmm2, No. 35
Magnetic moment   0.01 μB/f.u.

a = 2.656 Å, b = 2.656 Å, c = 8.292 Å
α = 90.00°, β = 90.00°, γ = 102.83°
Sites, in units of the cell vectors:
Mo  0.000  0.000  0.978
Mo  0.500  0.500  0.255
Tc  0.000  0.000  0.524
Co  0.500  0.500  0.743

# 7
Compound: CoTc3Mo
Source: Alexandria via LeMat-Bulk
Functional: PBE-GGA
Structure: optimized geometry

E   -42.16 eV for the cell shown
Excess energy over the best structure of this formula in the dataset   0.0 meV per atom
Symmetry   Pm-3m, No. 221
Magnetic moment   0.00 μB/f.u.

a = 4.349 Å, b = 4.349 Å, c = 4.349 Å
α = 90.00°, β = 90.00°, γ = 90.00°
Sites, in units of the cell vectors:
Tc  0.000  0.000  0.500
Tc  0.000  0.500  0.000
Tc  0.500  0.000  0.000
Co  0.000  0.000  0.000
Mo  0.500  0.500  0.500

# 8
Compound: CoTc2Mo
Source: Alexandria via LeMat-Bulk
Functional: PBE-GGA
Structure: optimized geometry

E   -38.26 eV for the cell shown
Excess energy over the best structure of this formula in the dataset   63.0 meV per atom
Symmetry   I4/mmm, No. 139
Magnetic moment   0.00 μB/f.u.

a = 4.679 Å, b = 4.679 Å, c = 4.679 Å
α = 131.88°, β = 131.87°, γ = 70.42°
Sites, in units of the cell vectors:
Co  0.750  0.250  0.500
Mo  0.250  0.750  0.500
Tc  0.500  0.500  0.000
Tc  0.000  0.000  0.000